PBE+U Rb2MgMoF6, optimized geometry; total energy = -0.3605 Ry per atom; ρ = 4.32 g cm⁻³
1.0
-3.039 3.039 4.215
3.039 -3.039 4.215
3.039 3.039 -4.215
Rb Mg Mo F
2 1 1 6
Direct
0.250 0.750 0.500 Rb
0.750 0.250 0.500 Rb
0.000 0.000 0.000 Mg
0.500 0.500 0.000 Mo
0.235 0.235 0.471 F
0.235 0.765 0.000 F
0.242 0.242 0.000 F
0.758 0.758 0.000 F
0.765 0.235 0.000 F
0.765 0.765 0.529 F